(1)
The following is a PBE calculation of a relaxed structure of Si3SeN, from Alexandria.

The offset from the most stable computed form is 1380.8 meV per atom. Its crystal system is cubic. The calculation puts the density of states at the Fermi level at 2.93 states/eV per cell. For the magnetization, the calculation gives 0.00 μB/f.u.

Cell lengths 4.8249, 4.8249, 4.8249 Å; angles 90.00, 90.00, 90.00 degrees
Sites, in units of the cell vectors:
Si (0.0000, 0.0000, 0.5000)
Si (0.5000, 0.0000, 0.0000)
Si (0.0000, 0.5000, 0.0000)
Se (0.0000, 0.0000, 0.0000)
N (0.5000, 0.5000, 0.5000)



(2)
The following is a PBE calculation of a relaxed structure of SiSe2N, from Alexandria.

The offset from the most stable computed form is 540.3 meV per atom. Its crystal system is cubic. The calculation puts the density of states at the Fermi level at 3.05 states/eV per cell. For the magnetization, the calculation gives 0.00 μB/f.u.

Cell lengths 4.3761, 4.3761, 4.3761 Å; angles 60.00, 60.00, 60.00 degrees
Sites, in units of the cell vectors:
N (0.0000, 0.0000, 0.0000)
Se (0.7500, 0.7500, 0.7500)
Se (0.2500, 0.2500, 0.2500)
Si (0.5000, 0.5000, 0.5000)



(3)
The following is a PBE calculation of a relaxed structure of SiSnSeN2, from Alexandria.

The offset from the most stable computed form is 0.0 meV per atom. Its crystal system is tetragonal. The calculation puts the density of states at the Fermi level at 1.64 states/eV per cell. For the magnetization, the calculation gives 0.54 μB/f.u.

Cell lengths 3.7350, 3.7350, 5.2360 Å; angles 90.00, 90.00, 90.00 degrees
Each line ends with the local moment (μB).
Sites, in units of the cell vectors:
Sn (0.5000, 0.5000, 0.5000)  0.00
Se (0.0000, 0.0000, 0.5000)  0.01
N (0.0000, 0.5000, 0.0000)  0.20
N (0.5000, 0.0000, 0.0000)  0.20
Si (0.0000, 0.0000, 0.0000)  -0.01